CaTa3Al, optimized geometry, DFT PBE; ΔE_f = 2452 meV per atom; space group = No. 221; calculated volume = 106 Å³ per cell; mass density = 9.6 g cm⁻³
1.0
4.726 0.000 0.000
0.000 4.726 0.000
0.000 0.000 4.726
Ta Ca Al
3 1 1
direct
0.500 0.000 0.000
0.000 0.000 0.500
0.000 0.500 0.000
0.000 0.000 0.000
0.500 0.500 0.500